Entry 1:
First-principles (PBE) data for U2Ni9Rh after structural relaxation, as listed in the Alexandria database. Values from VASP.

The structure in Quantum ESPRESSO input format:
```
&SYSTEM
  ibrav = 0, nat = 12, ntyp = 3
/
ATOMIC_SPECIES
U 238.03 U.upf
Ni 58.69 Ni.upf
Rh 102.91 Rh.upf
ATOMIC_POSITIONS crystal
U 0.870 0.870 0.391
U 0.130 0.130 0.609
Ni 0.667 0.667 0.000
Ni 0.333 0.333 0.000
Ni 0.500 0.500 0.500
Ni 0.415 0.415 0.249
Ni 0.920 0.415 0.249
Ni 0.415 0.920 0.249
Ni 0.585 0.585 0.751
Ni 0.585 0.080 0.751
Ni 0.080 0.585 0.751
Rh 0.000 0.000 0.000
CELL_PARAMETERS angstrom
-2.067 4.374 -0.397
-3.079 1.549 3.418
4.305 5.180 4.978
```

Values from the calculation:
**Energy of formation from the pure elements**: -98 meV per atom
**Volume**: 13.42 Å³ per atom
**Uncorrected energy**: -83.130 eV/cell

---

Entry 2:
First-principles (PBE) data for U4Ni6Rh7 after structural relaxation, as listed in the Alexandria database. Values from VASP.

The structure in Quantum ESPRESSO input format:
```
&SYSTEM
  ibrav = 0, nat = 17, ntyp = 3
/
ATOMIC_SPECIES
U 238.03 U.upf
Ni 58.69 Ni.upf
Rh 102.91 Rh.upf
ATOMIC_POSITIONS crystal
U 0.500 0.000 0.000
U 0.500 0.500 0.500
U 0.000 0.500 0.000
U 0.000 0.000 0.500
Ni 0.700 0.000 0.700
Ni 0.700 0.700 0.000
Ni 0.000 0.300 0.300
Ni 0.300 0.000 0.300
Ni 0.300 0.300 0.000
Ni 0.000 0.700 0.700
Rh 0.750 0.500 0.250
Rh 0.250 0.750 0.500
Rh 0.500 0.750 0.250
Rh 0.750 0.250 0.500
Rh 0.250 0.500 0.750
Rh 0.500 0.250 0.750
Rh 0.000 0.000 0.000
CELL_PARAMETERS angstrom
-5.465 -3.053 3.136
1.267 -3.186 -6.104
5.640 -0.515 4.116
```

Values from the calculation:
**Energy of formation from the pure elements**: -395 meV per atom
**Volume**: 15.54 Å³ per atom
**Uncorrected energy**: -138.019 eV/cell